Tm5SiTe5 | GGA-PBE | relaxed

Geometry as CIF:
```
data_Tm5SiTe5
_space_group_name_H-M_alt 'C 1 2/m 1'
_space_group_IT_number 12
_cell_length_a 13.521
_cell_length_b 6.025
_cell_length_c 8.503
_cell_angle_alpha 90.00
_cell_angle_beta 108.75
_cell_angle_gamma 90.00
loop_
_space_group_symop_operation_xyz
'x,y,z'
'-x,-y,-z'
'-x,y,-z'
'x,-y,z'
'x+1/2,y+1/2,z'
'-x+1/2,-y+1/2,-z'
'-x+1/2,y+1/2,-z'
'x+1/2,-y+1/2,z'
loop_
_atom_site_label
_atom_site_fract_x
_atom_site_fract_y
_atom_site_fract_z
Tm1 0.000 0.000 0.000
Tm2 0.154 0.500 0.315
Tm3 0.155 0.500 0.842
Si1 0.000 0.500 0.000
Te1 0.000 0.500 0.500
Te2 0.164 0.000 0.825
Te3 0.173 0.000 0.336
```

Output
As for the total energy: -5.206 eV per atom.


U2SiTe2 | GGA-PBE | relaxed

Geometry as CIF:
```
data_U2SiTe2
_space_group_name_H-M_alt 'P 63/m m c'
_space_group_IT_number 194
_space_group_name_Hall '-P 6c 2c'
_cell_length_a 5.1284
_cell_length_b 5.1284
_cell_length_c 10.8276
_cell_angle_alpha 90.00
_cell_angle_beta 90.00
_cell_angle_gamma 120.00
loop_
_atom_site_label
_atom_site_fract_x
_atom_site_fract_y
_atom_site_fract_z
U1 0.0000 0.0000 0.0000
U2 0.3333 0.6667 0.2500
Si1 0.0000 0.0000 0.2500
Te1 0.3333 0.6667 0.5916
```

Output
As for the total energy: -7.066 eV per atom.